Entry 1:
GaFeAs2O | GGA+U | optimized geometry

Results
As for the crystal system: tetragonal. Its space group is P4/mmm, No. 123. For the total magnetization, the calculation gives 0.86 μB/cell.

abc: 5.1736 5.0965 5.1736
angles: 90.00 90.00 90.00
With the nearest neighbours (Å) after each atom.
Fractional positions:
Ga 0.0000 0.0000 0.0000  2 Fe 2.55, 4 As 2.59
Fe 0.0000 0.5000 0.0000  2 Ga 2.55
O 0.5000 0.5000 0.5000  8 As 3.63, 4 Fe 3.66
As 0.5000 0.0000 0.0000  2 Ga 2.59
As 0.0000 0.0000 0.5000  2 Ga 2.59

Entry 2:
GaFeAs2O8 | GGA+U | optimized geometry

Results
As for the crystal system: tetragonal. Its space group is I-4m2, No. 119. For the total magnetization, the calculation gives 5.05 μB/cell.

abc: 5.5708 5.5708 5.5708
angles: 108.24 108.24 111.97
With the nearest neighbours (Å) after each atom.
Fractional positions:
O 0.8822 0.6894 0.1928  1 As 1.73
O 0.3695 0.0617 0.3079  1 As 1.72
O 0.9383 0.6305 0.6921  1 As 1.72
O 0.3106 0.1178 0.8072  1 As 1.73
O 0.7538 0.0617 0.6921  1 As 1.72
O 0.4967 0.6894 0.8072  1 As 1.73
O 0.9383 0.2462 0.3079  1 As 1.72
O 0.3106 0.5033 0.1928  1 As 1.73
As 0.5000 0.5000 0.0000  4 O 1.73
As 0.7500 0.2500 0.5000  4 O 1.72
Fe 0.0000 0.0000 0.0000  4 O 2.05
Ga 0.2500 0.7500 0.5000  4 O 2.04

| no. | total DFT energy (no corrections) (eV per atom) |
| --- | --- |
| 1 | -2.97 |
| 2 | -6.03 |